(1)
{
  "formula": "TmBPO",
  "functional": "PBE",
  "state": "relaxed",
  "e_above_lowest_polymorph_mev_per_atom": 0,
  "lattice_angstrom": [[-2.081, -3.064, -1.148], [3.261, -2.051, -0.439], [-0.463, -2.134, 6.537]],
  "species": ["Tm", "Tm", "B", "B", "P", "P", "O", "O"],
  "frac_coords": [[0.500, 0.000, 0.844], [0.000, 0.500, 0.156], [0.500, 0.500, 0.500], [0.000, 0.000, 0.500], [0.000, 0.500, 0.604], [0.500, 0.000, 0.396], [0.000, 0.000, 0.000], [0.500, 0.500, 0.000]]
}

(2)
{
  "formula": "Ho4Lu2Bi2Os",
  "functional": "PBE",
  "state": "relaxed",
  "total_energy_ev_per_atom": -5.757,
  "lattice_angstrom": [[4.228, 0.000, 0.000], [0.000, 7.113, 4.100], [0.000, -7.113, 4.100]],
  "species": ["Os", "Lu", "Lu", "Ho", "Ho", "Ho", "Ho", "Bi", "Bi"],
  "frac_coords": [[0.500, 0.996, 0.996], [0.000, 0.769, 0.000], [0.000, 0.000, 0.769], [0.500, 0.000, 0.386], [0.000, 0.232, 0.232], [0.500, 0.386, 0.000], [0.500, 0.616, 0.616], [0.000, 0.333, 0.668], [0.000, 0.668, 0.333]]
}